No. 1
# Sc2AgSe

A geometry-optimized Sc2AgSe structure (PBE-GGA, the Alexandria database).

Formation energy from raw total energies ... -70.7 kJ/mol of atoms
Symmetry ... P4/mmm (123)
ρ ... 5.78 g/cm3
Volume ... 19.88 A^3/atom
Final energy ... -21.9 eV/f.u.

abc: 3.4796 3.4796 6.5682
angles: 90.00 90.00 90.00
With the nearest neighbours (Å) after each atom.
Positions (direct):
1 Sc 0.0000 0.0000 0.2401  4 Se 2.92, 4 Ag 2.99, 1 Sc 3.15
2 Sc 0.0000 0.0000 0.7599  4 Se 2.92, 4 Ag 2.99, 1 Sc 3.15
3 Ag 0.5000 0.5000 0.5000  8 Sc 2.99, 2 Se 3.28
4 Se 0.5000 0.5000 0.0000  8 Sc 2.92

***

No. 2
# Mg2Tc

A geometry-optimized Mg2Tc structure (PBE-GGA, the Alexandria database).

Energy above the lowest structure with this stoichiometry ... 14.4 kJ per mole of atoms
Symmetry ... I4_1/amd (141)
Energy of formation from the pure elements ... 0.155 eV per atom
ρ ... 4.62 g/cm3
Volume ... 17.58 A^3/atom
Final energy ... -13.1 eV/f.u.

abc: 10.5564 10.5564 10.5564
angles: 154.93 154.93 35.75
With the nearest neighbours (Å) after each atom.
Positions (direct):
1 Mg 0.1233 0.3733 0.7500  4 Mg 2.87-2.91, 5 Tc 2.95-3.09
2 Mg 0.2877 0.5377 0.7500  2 Tc 2.67, 6 Mg 2.75-2.91
3 Mg 0.3733 0.1233 0.2500  4 Mg 2.87-2.91, 5 Tc 2.95-3.09
4 Mg 0.4623 0.7123 0.7500  2 Tc 2.67, 6 Mg 2.75-2.91
5 Mg 0.5377 0.2877 0.2500  2 Tc 2.67, 6 Mg 2.75-2.91
6 Mg 0.6267 0.8767 0.7500  4 Mg 2.87-2.91, 5 Tc 2.95-3.09
7 Mg 0.7123 0.4623 0.2500  2 Tc 2.67, 6 Mg 2.75-2.91
8 Mg 0.8767 0.6267 0.2500  4 Mg 2.87-2.91, 5 Tc 2.95-3.09
9 Tc 0.0305 0.7805 0.2500  2 Tc 2.60, 2 Mg 2.67
10 Tc 0.2195 0.9695 0.2500  2 Tc 2.60, 2 Mg 2.67
11 Tc 0.7805 0.0305 0.7500  2 Tc 2.60, 2 Mg 2.67
12 Tc 0.9695 0.2195 0.7500  2 Tc 2.60, 2 Mg 2.67

***

No. 3
# Ru2PbC

A geometry-optimized Ru2PbC structure (PBE-GGA, the Alexandria database).

Energy above the lowest structure with this stoichiometry ... 90.3 kJ per mole of atoms
Symmetry ... Fm-3m (225)
Energy of formation from the pure elements ... 1.569 eV per atom
ρ ... 11.83 g/cm3
Volume ... 14.79 A^3/atom
Final energy ... -25.2 eV/f.u.

abc: 4.3735 4.3735 4.3735
angles: 60.00 60.00 60.00
With the nearest neighbours (Å) after each atom.
Positions (direct):
1 Ru 0.2500 0.2500 0.2500  4 Pb 2.68, 4 C 2.68
2 Ru 0.7500 0.7500 0.7500  4 Pb 2.68, 4 C 2.68
3 Pb 0.0000 0.0000 0.0000  8 Ru 2.68
4 C 0.5000 0.5000 0.5000  8 Ru 2.68

***

No. 4
# Ag2SnI6

A geometry-optimized Ag2SnI6 structure (PBE-GGA, the Alexandria database).

Formation energy from raw total energies ... -25.7 kJ/mol of atoms
Energy above the lowest structure with this stoichiometry ... 0.0 kJ per mole of atoms
Symmetry ... C2/c (15)
ρ ... 4.27 g/cm3
Volume ... 47.33 A^3/atom
Final energy ... -21.4 eV/f.u.

abc: 11.4775 11.4775 7.1623
angles: 107.85 107.85 88.85
With the nearest neighbours (Å) after each atom.
Positions (direct):
1 Ag 0.1351 0.2828 0.4270  4 I 2.77-3.08
2 Ag 0.2828 0.1351 0.9270  4 I 2.77-3.08
3 Ag 0.7172 0.8649 0.0730  4 I 2.77-3.08
4 Ag 0.8649 0.7172 0.5730  4 I 2.77-3.08
5 Sn 0.2709 0.7291 0.7500  4 I 2.75-2.78
6 Sn 0.7291 0.2709 0.2500  4 I 2.75-2.78
7 I 0.0812 0.7248 0.9136  1 Sn 2.78, 1 Ag 2.88
8 I 0.1261 0.3094 0.8199  2 Ag 2.77-2.79
9 I 0.2570 0.5194 0.4259  1 Sn 2.75
10 I 0.2752 0.9188 0.5864  1 Sn 2.78, 1 Ag 2.88
11 I 0.3094 0.1261 0.3199  2 Ag 2.77-2.79
12 I 0.4806 0.7430 0.0741  1 Sn 2.75
13 I 0.5194 0.2570 0.9259  1 Sn 2.75
14 I 0.6906 0.8739 0.6801  2 Ag 2.77-2.79
15 I 0.7248 0.0812 0.4136  1 Sn 2.78, 1 Ag 2.88
16 I 0.7430 0.4806 0.5741  1 Sn 2.75
17 I 0.8739 0.6906 0.1801  2 Ag 2.77-2.79
18 I 0.9188 0.2752 0.0864  1 Sn 2.78, 1 Ag 2.88

***

No. 5
# K2CuReSn

A geometry-optimized K2CuReSn structure (PBE-GGA, the Alexandria database).

Symmetry ... P4/mmm (123)
Energy of formation from the pure elements ... 1.292 eV per atom
ρ ... 3.24 g/cm3
Volume ... 45.85 A^3/atom
Final energy ... -16.3 eV/f.u.

abc: 6.6814 6.6814 5.1354
angles: 90.00 90.00 90.00
With the nearest neighbours (Å) after each atom.
Positions (direct):
1 K 0.0000 0.5000 0.0000  2 Sn 3.34
2 K 0.5000 0.0000 0.0000  2 Sn 3.34
3 Cu 0.0000 0.0000 0.5000  8 K 4.21
4 Re 0.5000 0.5000 0.5000  2 Sn 2.57
5 Sn 0.5000 0.5000 0.0000  2 Re 2.57

***

No. 6
# TlAuBr2

A geometry-optimized TlAuBr2 structure (PBE-GGA, the Alexandria database).

Formation energy from raw total energies ... -12.8 kJ/mol of atoms
Energy above the lowest structure with this stoichiometry ... 33.7 kJ per mole of atoms
Symmetry ... C2/m (12)
ρ ... 7.32 g/cm3
Volume ... 31.83 A^3/atom
Final energy ... -9.5 eV/f.u.

abc: 5.7906 5.7906 4.2867
angles: 108.99 108.99 90.91
With the nearest neighbours (Å) after each atom.
Positions (direct):
1 Tl 0.0000 0.0000 0.0000  4 Br 2.99
2 Au 0.5000 0.5000 0.0000  4 Br 2.99
3 Br 0.0000 0.5000 0.5000  2 Tl 2.99, 2 Au 2.99
4 Br 0.5000 0.0000 0.5000  2 Tl 2.99, 2 Au 2.99

***

No. 7
# Er6Ni2Bi

A geometry-optimized Er6Ni2Bi structure (PBE-GGA, the Alexandria database).

Symmetry ... Immm (71)
Energy of formation from the pure elements ... -0.394 eV per atom
ρ ... 9.63 g/cm3
Volume ... 25.48 A^3/atom
Final energy ... -46.4 eV/f.u.

abc: 8.4277 8.4277 8.4277
angles: 113.67 109.00 105.84
With the nearest neighbours (Å) after each atom.
Positions (direct):
1 Er 0.0186 0.2295 0.7891  1 Ni 2.72
2 Er 0.1812 0.2960 0.4773  3 Ni 2.88-3.21
3 Er 0.1812 0.7040 0.8852  3 Ni 2.88-3.21
4 Er 0.3260 0.0135 0.6876  3 Ni 2.68-2.86
5 Er 0.3260 0.6384 0.3124  3 Ni 2.68-2.86
6 Er 0.4404 0.2295 0.2109  1 Ni 2.72
7 Er 0.5596 0.7705 0.7891  1 Ni 2.72
8 Er 0.6740 0.3616 0.6876  3 Ni 2.68-2.86
9 Er 0.6740 0.9865 0.3124  3 Ni 2.68-2.86
10 Er 0.8188 0.2960 0.1148  3 Ni 2.88-3.21
11 Er 0.8188 0.7040 0.5227  3 Ni 2.88-3.21
12 Er 0.9814 0.7705 0.2109  1 Ni 2.72
13 Ni 0.1243 0.6243 0.5000  1 Ni 2.53, 2 Er 2.68
14 Ni 0.3532 0.0000 0.3532  6 Er 2.72-2.86, 1 Ni 2.87
15 Ni 0.6468 0.0000 0.6468  6 Er 2.72-2.86, 1 Ni 2.87
16 Ni 0.8757 0.3757 0.5000  1 Ni 2.53, 2 Er 2.68
17 Bi 0.0000 0.0000 0.0000  8 Er 3.11-3.26, 2 Ni 3.46
18 Bi 0.5000 0.5000 0.0000  12 Er 3.38-3.64

***

No. 8
# Tb8Pm2Dy

A geometry-optimized Tb8Pm2Dy structure (PBE-GGA, the Alexandria database).

Energy above the lowest structure with this stoichiometry ... 0.0 kJ per mole of atoms
Symmetry ... C2/m (12)
Energy of formation from the pure elements ... 0.016 eV per atom
ρ ... 8.06 g/cm3
Volume ... 32.29 A^3/atom
Final energy ... -51.0 eV/f.u.

abc: 9.4535 9.4535 8.0023
angles: 104.74 104.74 30.99
With the nearest neighbours (Å) after each atom.
Positions (direct):
1 Tb 0.0449 0.0449 0.2277  9 Tb 3.55-3.58, 2 Dy 3.57, 1 Pm 3.58
2 Tb 0.1353 0.1353 0.6792  7 Tb 3.55-3.59, 2 Dy 3.56, 3 Pm 3.59-3.60
3 Tb 0.3187 0.3187 0.5914  1 Dy 3.57, 8 Tb 3.57-3.59, 3 Pm 3.57-3.58
4 Tb 0.4100 0.4100 0.0466  8 Tb 3.55-3.58, 1 Dy 3.57, 3 Pm 3.58-3.59
5 Tb 0.5900 0.5900 0.9534  8 Tb 3.55-3.58, 1 Dy 3.57, 3 Pm 3.58-3.59
6 Tb 0.6813 0.6813 0.4086  1 Dy 3.57, 8 Tb 3.57-3.59, 3 Pm 3.57-3.58
7 Tb 0.8647 0.8647 0.3208  7 Tb 3.55-3.59, 2 Dy 3.56, 3 Pm 3.59-3.60
8 Tb 0.9551 0.9551 0.7723  9 Tb 3.55-3.58, 2 Dy 3.57, 1 Pm 3.58
9 Pm 0.2271 0.2271 0.1371  10 Tb 3.57-3.60, 2 Pm 3.59
10 Pm 0.7729 0.7729 0.8629  10 Tb 3.57-3.60, 2 Pm 3.59
11 Dy 0.5000 0.5000 0.5000  12 Tb 3.56-3.57

***

No. 9
# Ba3SnSe4

A geometry-optimized Ba3SnSe4 structure (PBE-GGA, the Alexandria database).

Formation energy from raw total energies ... -158.6 kJ/mol of atoms
Energy above the lowest structure with this stoichiometry ... 0.0 kJ per mole of atoms
Symmetry ... Pmn2_1 (31)
ρ ... 4.87 g/cm3
Volume ... 36.05 A^3/atom
Final energy ... -36.9 eV/f.u.

abc: 13.1070 6.6335 6.6338
angles: 90.00 90.00 90.00
With the nearest neighbours (Å) after each atom.
Positions (direct):
1 Ba 0.0000 0.2428 0.0000  6 Se 3.31-3.36
2 Ba 0.2500 0.2492 0.5041  6 Se 3.30-3.33
3 Ba 0.2500 0.7508 0.0041  6 Se 3.30-3.33
4 Ba 0.5000 0.7572 0.5000  6 Se 3.31-3.36
5 Ba 0.7500 0.2492 0.5041  6 Se 3.30-3.33
6 Ba 0.7500 0.7508 0.0041  6 Se 3.30-3.33
7 Sn 0.0000 0.7743 0.5308  2 Se 2.77
8 Sn 0.5000 0.2257 0.0308  2 Se 2.77
9 Se 0.0000 0.1912 0.5027  1 Sn 2.77
10 Se 0.0000 0.7464 0.9479  1 Sn 2.77
11 Se 0.2460 0.7501 0.5062  1 Sn 3.23, 5 Ba 3.30-3.33
12 Se 0.2540 0.2499 0.0062  1 Sn 3.23, 5 Ba 3.30-3.33
13 Se 0.5000 0.2536 0.4479  1 Sn 2.77
14 Se 0.5000 0.8088 0.0027  1 Sn 2.77
15 Se 0.7460 0.2499 0.0062  1 Sn 3.23, 5 Ba 3.30-3.33
16 Se 0.7540 0.7501 0.5062  1 Sn 3.23, 5 Ba 3.30-3.33

***

No. 10
# Tl3Hg6Pb

A geometry-optimized Tl3Hg6Pb structure (PBE-GGA, the Alexandria database).

Energy above the lowest structure with this stoichiometry ... 0.0 kJ per mole of atoms
Symmetry ... P-3m1 (164)
Energy of formation from the pure elements ... -0.009 eV per atom
ρ ... 11.57 g/cm3
Volume ... 29.05 A^3/atom
Final energy ... -12.7 eV/f.u.

abc: 3.6080 3.6080 25.7695
angles: 90.00 90.00 120.00
With the nearest neighbours (Å) after each atom.
Positions (direct):
1 Tl 0.0000 0.0000 0.0000  6 Hg 3.36, 6 Tl 3.61
2 Tl 0.0000 0.0000 0.3008  6 Hg 3.29-3.39, 6 Tl 3.61
3 Tl 0.0000 0.0000 0.6992  6 Hg 3.29-3.39, 6 Tl 3.61
4 Hg 0.3333 0.6667 0.1025  3 Hg 3.20, 3 Tl 3.36
5 Hg 0.3333 0.6667 0.3997  3 Tl 3.29, 3 Pb 3.32, 6 Hg 3.61
6 Hg 0.3333 0.6667 0.8031  3 Hg 3.20, 3 Tl 3.39
7 Hg 0.6667 0.3333 0.1969  3 Hg 3.20, 3 Tl 3.39
8 Hg 0.6667 0.3333 0.6003  3 Tl 3.29, 3 Pb 3.32, 6 Hg 3.61
9 Hg 0.6667 0.3333 0.8975  3 Hg 3.20, 3 Tl 3.36
10 Pb 0.0000 0.0000 0.5000  6 Hg 3.32, 6 Pb 3.61

***

No. 11
# Ta2TcSe

A geometry-optimized Ta2TcSe structure (PBE-GGA, the Alexandria database).

Formation energy from raw total energies ... -3.4 kJ/mol of atoms
Symmetry ... Imm2 (44)
ρ ... 13.36 g/cm3
Volume ... 16.74 A^3/atom
Final energy ... -37.7 eV/f.u.

abc: 5.5114 5.5114 5.5114
angles: 146.30 133.35 58.77
With the nearest neighbours (Å) after each atom.
Positions (direct):
1 Ta 0.0000 0.0000 0.0000  4 Se 2.72, 2 Tc 2.83, 2 Ta 2.97
2 Ta 0.7393 0.2393 0.5000  4 Tc 2.70, 2 Ta 2.97
3 Tc 0.2432 0.7432 0.5000  2 Se 2.69, 6 Ta 2.70-2.83
4 Se 0.4687 0.4687 0.0000  2 Tc 2.69, 4 Ta 2.72

***

No. 12
# AlTl2HgRh

A geometry-optimized AlTl2HgRh structure (PBE-GGA, the Alexandria database).

Symmetry ... P4/mmm (123)
Energy of formation from the pure elements ... 0.324 eV per atom
ρ ... 8.48 g/cm3
Volume ... 28.96 A^3/atom
Final energy ... -14.5 eV/f.u.

abc: 5.2272 5.2272 5.2998
angles: 90.00 90.00 90.00
With the nearest neighbours (Å) after each atom.
Positions (direct):
1 Al 0.0000 0.0000 0.0000  4 Hg 3.70, 8 Tl 3.72
2 Tl 0.0000 0.5000 0.5000  2 Rh 2.61
3 Tl 0.5000 0.0000 0.5000  2 Rh 2.61
4 Hg 0.5000 0.5000 0.0000  2 Rh 2.65
5 Rh 0.5000 0.5000 0.5000  4 Tl 2.61, 2 Hg 2.65